## BaCaZrWO6 (PBE with a Hubbard U)

Data for BaCaZrWO6 after structural relaxation.

Values from the calculation:
The total moment is 2.0 μB per formula unit. As for the space group: F-43m, No. 216. The value obtained for the total energy is -7.634 eV per atom.

a = 5.880 Å, b = 5.880 Å, c = 5.880 Å
α = 60.00°, β = 60.00°, γ = 60.00°
Last column: magnetic moment on the atom in μB.
Atoms (fractional coordinates):
Ba  0.750  0.750  0.750  0.01
Ca  0.250  0.250  0.250  0.01
Zr  0.000  0.000  0.000  0.12
W  0.500  0.500  0.500  1.76
O  0.253  0.747  0.253  -0.02
O  0.747  0.253  0.747  -0.02
O  0.253  0.747  0.747  -0.02
O  0.747  0.253  0.253  -0.02
O  0.253  0.253  0.747  -0.02
O  0.747  0.747  0.253  -0.02